[1]
A plane-wave DFT calculation with GGA-PBE was carried out for PmNpBiPd after structural relaxation.

## Properties
E_form = 0.1243 eV/atom

a b c (Å): 5.2461 5.2461 5.2461
angles (deg): 60.00 60.00 60.00
Atoms (fractional coordinates):
Np  0.5000  0.5000  0.5000
Bi  0.7500  0.7500  0.7500
Pd  0.0000  0.0000  0.0000
Pm  0.2500  0.2500  0.2500


[2]
A plane-wave DFT calculation with GGA-PBE was carried out for LaPm after structural relaxation.

## Properties
E above lowest polymorph = 0.109 eV/atom
E_form = 0.1189 eV/atom

a b c (Å): 4.1589 4.1589 4.1589
angles (deg): 90.00 90.00 90.00
Atoms (fractional coordinates):
La  0.0000  0.0000  0.0000
Pm  0.5000  0.5000  0.5000


[3]
A plane-wave DFT calculation with GGA-PBE was carried out for KHgSb2I after structural relaxation.

## Properties
Uncorrected formation energy = 0.6421 eV per atom
E above lowest polymorph = 0.574 eV/atom

a b c (Å): 7.6124 7.6124 6.4619
angles (deg): 90.00 90.00 90.00
Atoms (fractional coordinates):
I  0.0000  0.0000  0.5000
Sb  0.0000  0.5000  0.0000
Sb  0.5000  0.0000  0.0000
K  0.0000  0.0000  0.0000
Hg  0.5000  0.5000  0.5000


[4]
A plane-wave DFT calculation with GGA-PBE was carried out for Ru2PtCl after structural relaxation.

## Properties
Uncorrected formation energy = 0.4109 eV per atom
E above lowest polymorph = 0.124 eV/atom

a b c (Å): 3.6755 2.8688 6.0675
angles (deg): 90.00 90.00 90.00
Atoms (fractional coordinates):
Cl  0.5000  0.2500  0.2500
Pt  0.5000  0.7500  0.7500
Ru  0.0000  0.2500  0.9658
Ru  0.0000  0.2500  0.5342


In μB per formula unit, the spin magnetization values for the records above are, in order, 5.97, 0.00, 6.00, 0.00.